ScZnCl2: relaxed, GGA-PBE.

Properties
offset from the most stable computed form = 0.1540 eV/atom
magnetic moment = 0.144 μB/atom
uncorrected formation energy = -4.1 eV per formula unit
electronic total energy = -3.85 eV/atom

abc: 3.552 3.910 7.716
angles: 75.51 90.00 90.00
Each line ends with the local moment (μB).
Positions (direct):
1 Cl 0.500 0.401 0.321  0.01
2 Cl 0.000 0.117 0.894  0.02
3 Zn 0.500 0.700 0.726  0.03
4 Sc 0.000 0.282 0.559  0.31



ScZnCl2: relaxed, GGA-PBE.

Properties
offset from the most stable computed form = 0.5485 eV/atom
magnetic moment = 0.216 μB/atom
uncorrected formation energy = -2.5 eV per formula unit
electronic total energy = -3.46 eV/atom

abc: 4.524 4.524 3.972
angles: 90.00 90.00 90.00
Each line ends with the local moment (μB).
Positions (direct):
1 Cl 0.000 0.000 0.000  0.00
2 Cl 0.500 0.500 0.000  0.00
3 Sc 0.500 0.000 0.500  0.63
4 Zn 0.000 0.500 0.500  0.00



Sc2ZnCl: relaxed, GGA-PBE.

Properties
offset from the most stable computed form = 0.3926 eV/atom
magnetic moment = 0.001 μB/atom
uncorrected formation energy = -1.3 eV per formula unit
electronic total energy = -4.28 eV/atom

abc: 3.292 5.810 4.509
angles: 90.00 90.00 90.00
Positions (direct):
1 Sc 0.500 0.500 0.000
2 Sc 0.000 0.000 0.000
3 Cl 0.000 0.500 0.500
4 Zn 0.500 0.000 0.500



ZrScZnCl2: relaxed, GGA-PBE.

Properties
magnetic moment = 0.583 μB/atom
uncorrected formation energy = -1.0 eV per formula unit
electronic total energy = -4.16 eV/atom

abc: 4.778 6.387 4.778
angles: 90.00 90.00 90.00
Each line ends with the local moment (μB).
Positions (direct):
1 Zr 0.000 0.500 0.000  1.34
2 Cl 0.500 0.000 0.000  0.01
3 Cl 0.000 0.000 0.500  0.01
4 Sc 0.000 0.000 0.000  0.19
5 Zn 0.500 0.500 0.500  0.06



Zr2ScCl: relaxed, GGA-PBE.

Properties
offset from the most stable computed form = 0.5593 eV/atom
magnetic moment = 0.000 μB/atom
uncorrected formation energy = 0.3 eV per formula unit
electronic total energy = -6.24 eV/atom

abc: 4.012 4.012 11.686
angles: 80.12 80.12 90.00
Positions (direct):
1 Zr 0.626 0.125 0.250
2 Zr 0.124 0.625 0.250
3 Zr 0.375 0.374 0.750
4 Zr 0.875 0.876 0.750
5 Sc 0.000 0.000 0.000
6 Sc 0.750 0.250 0.500
7 Cl 0.500 0.500 0.000
8 Cl 0.250 0.750 0.500



Zr2ScCl: relaxed, GGA-PBE.

Properties
offset from the most stable computed form = 0.2131 eV/atom
magnetic moment = 0.000 μB/atom
uncorrected formation energy = -1.1 eV per formula unit
electronic total energy = -6.58 eV/atom

abc: 3.161 3.161 8.876
angles: 90.00 90.00 101.14
Positions (direct):
1 Cl 0.500 0.500 0.250
2 Zr 0.000 0.000 0.011
3 Zr 0.000 0.000 0.489
4 Sc 0.500 0.500 0.750



Zr2ScCl: relaxed, GGA-PBE.

Properties
offset from the most stable computed form = 0.4713 eV/atom
magnetic moment = 0.000 μB/atom
uncorrected formation energy = 0.0 eV per formula unit
electronic total energy = -6.32 eV/atom

abc: 5.321 5.321 3.221
angles: 90.00 90.00 109.11
Positions (direct):
1 Sc 0.000 0.500 0.500
2 Zr 0.500 0.500 0.000
3 Zr 0.000 0.000 0.000
4 Cl 0.500 0.000 0.500



Zr2ScCl: relaxed, GGA-PBE.

Properties
offset from the most stable computed form = 0.2882 eV/atom
magnetic moment = 0.000 μB/atom
uncorrected formation energy = -0.8 eV per formula unit
electronic total energy = -6.51 eV/atom

abc: 4.945 3.172 6.200
angles: 75.30 90.00 90.00
Positions (direct):
1 Zr 0.000 0.939 0.997
2 Zr 0.500 0.346 0.186
3 Sc 0.500 0.591 0.692
4 Cl 0.000 0.624 0.625